(1)
# Tl2GePtBr

A geometry-optimized Tl2GePtBr structure (PBEsol, Alexandria via LeMat-Bulk).

a = 5.6997 Å, b = 5.6997 Å, c = 5.0416 Å
α = 90.00°, β = 90.00°, γ = 90.00°
Fractional coordinates of all 5 atoms:
1 Tl 0.0000 0.5000 0.0000
2 Tl 0.5000 0.0000 0.0000
3 Ge 0.0000 0.0000 0.5000
4 Pt 0.5000 0.5000 0.5000
5 Br 0.0000 0.0000 0.0000

Calculated values
**Energy**: -14.10 eV for the cell shown
**Space group**: P4/mmm, No. 123
**Uncorrected formation energy**: 95.1 kJ per mole of atoms


(2)
# RbGeSeBr2

A geometry-optimized RbGeSeBr2 structure (PBEsol, Alexandria via LeMat-Bulk).

a = 5.4649 Å, b = 5.4649 Å, c = 4.9461 Å
α = 90.00°, β = 90.00°, γ = 90.00°
Fractional coordinates of all 5 atoms:
1 Rb 0.0000 0.0000 0.0000
2 Ge 0.5000 0.5000 0.5000
3 Se 0.5000 0.5000 0.0000
4 Br 0.0000 0.5000 0.5000
5 Br 0.5000 0.0000 0.5000

Calculated values
**Energy**: -17.33 eV for the cell shown
**Space group**: P4/mmm, No. 123
**Uncorrected formation energy**: -72.9 kJ per mole of atoms


(3)
# RbGeSe2Br

A geometry-optimized RbGeSe2Br structure (PBEsol, Alexandria via LeMat-Bulk).

a = 5.5019 Å, b = 5.5019 Å, c = 5.8378 Å
α = 90.00°, β = 90.00°, γ = 90.00°
Fractional coordinates of all 5 atoms:
1 Rb 0.0000 0.0000 0.0000
2 Ge 0.5000 0.5000 0.5000
3 Se 0.0000 0.5000 0.0000
4 Se 0.5000 0.0000 0.0000
5 Br 0.0000 0.0000 0.5000

Calculated values
**Energy**: -11.10 eV for the cell shown
**Space group**: P4/mmm, No. 123
**Uncorrected formation energy**: 85.6 kJ per mole of atoms


(4)
# RbZn2GeBr

A geometry-optimized RbZn2GeBr structure (PBEsol, Alexandria via LeMat-Bulk).

a = 4.8209 Å, b = 4.8209 Å, c = 6.2416 Å
α = 90.00°, β = 90.00°, γ = 90.00°
Fractional coordinates of all 5 atoms:
1 Rb 0.0000 0.0000 0.0000
2 Zn 0.0000 0.5000 0.5000
3 Zn 0.5000 0.0000 0.5000
4 Ge 0.5000 0.5000 0.5000
5 Br 0.5000 0.5000 0.0000

Calculated values
**Energy**: -11.70 eV for the cell shown
**Space group**: P4/mmm, No. 123
**Uncorrected formation energy**: -13.5 kJ per mole of atoms


(5)
# ReGeSeBr2

A geometry-optimized ReGeSeBr2 structure (PBEsol, Alexandria via LeMat-Bulk).

a = 5.1029 Å, b = 5.1029 Å, c = 4.6837 Å
α = 90.00°, β = 90.00°, γ = 90.00°
Fractional coordinates of all 5 atoms:
1 Re 0.0000 0.0000 0.0000
2 Ge 0.5000 0.5000 0.5000
3 Se 0.0000 0.0000 0.5000
4 Br 0.0000 0.5000 0.0000
5 Br 0.5000 0.0000 0.0000

Calculated values
**Energy**: -22.60 eV for the cell shown
**Space group**: P4/mmm, No. 123
**Uncorrected formation energy**: 62.9 kJ per mole of atoms


(6)
# GeRh3Br

A geometry-optimized GeRh3Br structure (PBEsol, Alexandria via LeMat-Bulk).

a = 4.5500 Å, b = 4.5500 Å, c = 4.5500 Å
α = 90.00°, β = 90.00°, γ = 90.00°
Fractional coordinates of all 5 atoms:
1 Ge 0.0000 0.0000 0.0000
2 Rh 0.0000 0.0000 0.5000
3 Rh 0.0000 0.5000 0.0000
4 Rh 0.5000 0.0000 0.0000
5 Br 0.5000 0.5000 0.5000

Calculated values
**Energy**: -26.84 eV for the cell shown
**Space group**: Pm-3m, No. 221
**Uncorrected formation energy**: 84.5 kJ per mole of atoms


(7)
# TcGe2RhBr

A geometry-optimized TcGe2RhBr structure (PBEsol, Alexandria via LeMat-Bulk).

a = 4.8009 Å, b = 4.8009 Å, c = 4.6611 Å
α = 90.00°, β = 90.00°, γ = 90.00°
Fractional coordinates of all 5 atoms:
1 Tc 0.0000 0.0000 0.0000
2 Ge 0.0000 0.5000 0.0000
3 Ge 0.5000 0.0000 0.0000
4 Rh 0.0000 0.0000 0.5000
5 Br 0.5000 0.5000 0.5000

Calculated values
**Energy**: -27.97 eV for the cell shown
**Space group**: P4/mmm, No. 123
**Uncorrected formation energy**: 61.4 kJ per mole of atoms


(8)
# Ge2S3Br2

A geometry-optimized Ge2S3Br2 structure (PBEsol, Alexandria via LeMat-Bulk).

a = 9.5841 Å, b = 9.7634 Å, c = 10.0024 Å
α = 88.13°, β = 64.71°, γ = 89.99°
Fractional coordinates of all 28 atoms:
1 Ge 0.1004 0.2967 0.2046
2 Ge 0.1833 0.7709 0.4519
3 Ge 0.2142 0.5007 0.6633
4 Ge 0.2457 0.8264 0.7548
5 Ge 0.7543 0.1736 0.2452
6 Ge 0.7858 0.4993 0.3367
7 Ge 0.8167 0.2291 0.5481
8 Ge 0.8996 0.7033 0.7954
9 S 0.0027 0.1584 0.0927
10 S 0.0378 0.5148 0.1961
11 S 0.0716 0.2179 0.4264
12 S 0.2734 0.5586 0.4276
13 S 0.3094 0.9162 0.5290
14 S 0.3447 0.6213 0.7586
15 S 0.6553 0.3787 0.2414
16 S 0.6906 0.0838 0.4710
17 S 0.7266 0.4414 0.5724
18 S 0.9284 0.7821 0.5736
19 S 0.9622 0.4852 0.8039
20 S 0.9973 0.8416 0.9073
21 Br 0.2392 0.8479 0.2151
22 Br 0.3002 0.2820 0.6609
23 Br 0.3620 0.2957 0.0625
24 Br 0.3701 0.9699 0.8480
25 Br 0.6299 0.0301 0.1520
26 Br 0.6380 0.7043 0.9375
27 Br 0.6998 0.7180 0.3391
28 Br 0.7608 0.1521 0.7849

Calculated values
**Energy**: -118.75 eV for the cell shown
**Space group**: P-1, No. 2
**Uncorrected formation energy**: -40.2 kJ per mole of atoms


(9)
# GeSBr2

A geometry-optimized GeSBr2 structure (PBEsol, Alexandria via LeMat-Bulk).

a = 9.0660 Å, b = 9.0660 Å, c = 9.0660 Å
α = 22.93°, β = 22.93°, γ = 22.93°
Fractional coordinates of all 4 atoms:
1 Ge 0.0000 0.0000 0.0000
2 S 0.5000 0.5000 0.5000
3 Br 0.4069 0.4069 0.4069
4 Br 0.5931 0.5931 0.5931

Calculated values
**Energy**: -12.04 eV for the cell shown
**Space group**: R-3m, No. 166
**Uncorrected formation energy**: 24.6 kJ per mole of atoms


(10)
# Ge3SBr

A geometry-optimized Ge3SBr structure (PBEsol, Alexandria via LeMat-Bulk).

a = 5.0859 Å, b = 5.0859 Å, c = 5.0859 Å
α = 90.00°, β = 90.00°, γ = 90.00°
Fractional coordinates of all 5 atoms:
1 Ge 0.0000 0.0000 0.5000
2 Ge 0.0000 0.5000 0.0000
3 Ge 0.5000 0.0000 0.0000
4 S 0.5000 0.5000 0.5000
5 Br 0.0000 0.0000 0.0000

Calculated values
**Energy**: -15.27 eV for the cell shown
**Space group**: Pm-3m, No. 221
**Uncorrected formation energy**: 112.0 kJ per mole of atoms